! CaLaIn2 PBE-GGA optimized geometry; values from VASP
! - Energy relative to the elements: -0.13 eV/atom
! - Total DFT energy (no corrections): -25.9 eV per cell
&SYSTEM
  ibrav = 0, nat = 8, ntyp = 3
/
ATOMIC_SPECIES
Ca 40.08 Ca.upf
La 138.91 La.upf
In 114.82 In.upf
CELL_PARAMETERS angstrom
-4.3139 4.3139 3.5911
4.3139 -4.3139 3.5911
4.3139 4.3139 -3.5911
ATOMIC_POSITIONS angstrom
Ca 0.0000 0.0000 0.0000
Ca 0.0000 4.3139 1.7956
La 4.3139 0.0000 1.7956
La 0.0000 0.0000 3.5911
In 6.4709 2.0767 -0.8978
In 2.0767 2.1570 0.8978
In -2.1570 2.2373 2.6933
In 2.2373 2.1570 4.4889